InFeRh3 | PBE | relaxed

Results
**Crystal system**: cubic
**Excess energy over the best structure of this formula in the dataset**: 0.0000 eV/atom
**Space group**: No. 221
**VASP energy**: -5.914 eV per atom

```
5
Lattice="4.469 0.000 0.000 0.000 4.469 0.000 0.000 0.000 4.469" Properties=species:S:1:pos:R:3 pbc="T T T"
In 0.000 0.000 0.000
Fe 2.234 2.234 2.234
Rh 0.000 2.234 2.234
Rh 2.234 0.000 2.234
Rh 2.234 2.234 0.000
```